Entry 1:
Computed, not measured: a geometry-optimized Th2ScPt2 structure at the PBE-GGA level of DFT.

For the total energy, the calculation gives -7.684 eV per atom.

The structure belongs to space group P4/mbm (No. 127); the cell edges are 7.8876, 7.8876 and 3.9026 Å and the angles 90.00°, 90.00° and 90.00°. The inequivalent atoms are Th at (0.1732, 0.3268, 0.0000), Sc at (0.0000, 0.0000, 0.5000) and Pt at (0.1331, 0.6331, 0.5000).



Entry 2:
Computed, not measured: a geometry-optimized InSiOs2 structure at the PBE-GGA level of DFT.

The formation energy (no corrections) comes out at 722 meV/atom. Its excess energy over the best structure of this formula in the dataset is 633 meV per atom.

The structure belongs to space group F-43m (No. 216); the cell edges are 6.3376, 6.3376 and 6.3376 Å and the angles 90.00°, 90.00° and 90.00°. The inequivalent atoms are In at (0.0000, 0.0000, 0.0000), Si at (0.2500, 0.2500, 0.2500), Os at (0.0000, 0.0000, 0.5000) and Os at (0.2500, 0.2500, 0.7500).



Fermi-level density of states in states/eV/cell, matching the order above: 11.023 9.122